Record 1
An optimized crystal structure of SrReAu2, computed with PBE.

Theoretical density   13.11 g/cm3
Symmetry   F-43m, No. 216
DFT total energy   -4.463 eV/atom
Energy of formation from the pure elements   16.34 kcal/mol of atoms
DOS at the Fermi energy   1.3 states/eV per cell

Unit cell a=4.928 b=4.928 c=4.928 alpha=60.00 beta=60.00 gamma=60.00
Fractional coordinates of all 4 atoms:
Au 0.000 0.000 0.000
Au 0.750 0.750 0.750
Re 0.500 0.500 0.500
Sr 0.250 0.250 0.250


Record 2
An optimized crystal structure of SrReAu2, computed with PBE.

Theoretical density   13.38 g/cm3
Symmetry   Pmmm, No. 47
DFT total energy   -4.830 eV/atom
Energy of formation from the pure elements   7.88 kcal/mol of atoms
DOS at the Fermi energy   4.2 states/eV per cell

Unit cell a=2.938 b=4.049 c=6.968 alpha=90.00 beta=90.00 gamma=90.00
Fractional coordinates of all 4 atoms:
Au 0.000 0.000 0.050
Au 0.000 0.000 0.450
Re 0.500 0.500 0.250
Sr 0.500 0.500 0.750


Record 3
An optimized crystal structure of SrReAu2, computed with PBE.

Theoretical density   12.84 g/cm3
Symmetry   Fm-3m, No. 225
DFT total energy   -4.651 eV/atom
Energy of formation from the pure elements   11.99 kcal/mol of atoms
DOS at the Fermi energy   3.1 states/eV per cell

Unit cell a=4.961 b=4.961 c=4.961 alpha=60.00 beta=60.00 gamma=60.00
Fractional coordinates of all 4 atoms:
Re 0.500 0.500 0.500
Au 0.250 0.250 0.250
Au 0.750 0.750 0.750
Sr 0.000 0.000 0.000


no.,excess energy over the best structure of this formula in the dataset (kJ/mol of atoms)
1,35.4
2,0.0
3,17.2